<one>
! NaZrAg3S4 | the Open Quantum Materials Database | PBE | optimized geometry; values from VASP
! Size of the total moment: 0.00 μB/f.u.
&SYSTEM
  ibrav = 0, nat = 18, ntyp = 4
/
ATOMIC_SPECIES
Na 22.99 Na.upf
Zr 91.22 Zr.upf
Ag 107.87 Ag.upf
S 32.06 S.upf
CELL_PARAMETERS angstrom
6.2976 0.0000 0.0000
0.0000 7.8637 0.0000
-2.0829 0.0000 9.5810
ATOMIC_POSITIONS angstrom
Na -0.1058 1.9659 1.6882
Na 4.3205 5.8977 7.8928
Zr 0.3085 5.8977 2.8844
Zr 3.9063 1.9659 6.6966
Ag 0.6732 0.3823 5.1000
Ag 0.6732 3.5495 5.1000
Ag 0.9599 1.9659 7.5763
Ag 3.2549 5.8977 2.0047
Ag 3.5415 4.3142 4.4809
Ag 3.5415 7.4813 4.4809
S -0.7805 5.8977 5.1510
S -1.1405 1.9659 8.7248
S 1.7482 0.0053 2.6555
S 1.7482 3.9265 2.6555
S 2.4666 3.9371 6.9255
S 2.4666 7.8584 6.9255
S 5.3552 5.8977 0.8562
S 4.9953 1.9659 4.4300

=====

<two>
! NaZrAg3S4 | the Open Quantum Materials Database | PBE | optimized geometry; values from VASP
! Size of the total moment: 0.00 μB/f.u.
&SYSTEM
  ibrav = 0, nat = 9, ntyp = 4
/
ATOMIC_SPECIES
Na 22.99 Na.upf
Zr 91.22 Zr.upf
Ag 107.87 Ag.upf
S 32.06 S.upf
CELL_PARAMETERS angstrom
6.1406 0.0000 0.0000
0.0000 6.1406 0.0000
0.0000 0.0000 6.1406
ATOMIC_POSITIONS angstrom
Na 0.0000 0.0000 0.0000
Zr 3.0703 3.0703 3.0703
Ag 0.0000 3.0703 3.0703
Ag 3.0703 0.0000 3.0703
Ag 3.0703 3.0703 0.0000
S 1.6541 1.6541 1.6541
S 1.6541 4.4865 4.4865
S 4.4865 1.6541 4.4865
S 4.4865 4.4865 1.6541

=====

Bottom line: <two>, by a margin of 80 meV per atom.